Entry 1:
4
Lattice="1.782 1.029 7.807 -1.782 1.029 7.807 0.000 -2.057 7.807" Properties=species:S:1:pos:R:3 comment="Er2TlH, optimized geometry, DFT PBE" de_polymorph_ev_per_atom=0.114 dos_ef_per_ev_fu=3.2 spacegroup="No. 166" pbc="T T T"
Er 0.000 0.000 5.245
Er 0.000 0.000 18.175
Tl 0.000 0.000 0.000
H 0.000 0.000 11.710

---

Entry 2:
8
Lattice="-1.993 1.993 8.308 1.993 -1.993 8.308 1.993 1.993 -8.308" Properties=species:S:1:pos:R:3 comment="Al2CuSi, optimized geometry, DFT PBE" e_form_raw_mev_per_atom=176 dos_ef_per_ev_fu=1.6 spacegroup="No. 122" pbc="T T T"
Al 2.990 0.940 -2.077
Al 0.940 0.997 2.077
Al -0.997 1.053 6.231
Al 1.053 0.997 10.385
Cu 0.000 0.000 0.000
Cu 0.000 1.993 4.154
Si 1.993 0.000 4.154
Si 0.000 0.000 8.308

---

Entry 3:
4
Lattice="3.703 0.000 0.000 0.000 3.734 0.000 -0.013 0.000 7.063" Properties=species:S:1:pos:R:3 comment="La2NiAs, optimized geometry, DFT PBE" delta_e_f_ev_per_atom=-0.703 dos_ef_per_ev_fu=2.2 spacegroup="No. 10" pbc="T T T"
La 0.000 0.000 1.742
La 3.690 0.000 5.322
Ni 1.852 1.867 0.000
As 1.845 1.867 3.532

---

Entry 4:
3
Lattice="4.340 0.000 0.000 -2.170 3.759 0.000 0.000 0.000 2.519" Properties=species:S:1:pos:R:3 comment="VNiW, optimized geometry, DFT PBE" delta_e_f_ev_per_atom=0.139 de_polymorph_ev_per_atom=0.007 dos_ef_per_ev_fu=2.2 spacegroup="No. 156" pbc="T T T"
V 0.000 0.000 0.000
Ni 2.170 1.253 0.012
W 0.000 2.506 1.268

---

Entry 5:
8
Lattice="7.694 0.000 0.000 0.000 4.370 0.000 -2.491 0.000 7.384" Properties=species:S:1:pos:R:3 comment="Sm4HgSbTe2, optimized geometry, DFT PBE" e_form_raw_mev_per_atom=-1104 dos_ef_per_ev_fu=5.8 spacegroup="No. 10" pbc="T T T"
Sm 1.299 0.000 1.791
Sm 0.061 2.185 5.577
Sm 5.142 2.185 1.807
Sm 3.904 0.000 5.594
Hg 3.847 0.000 0.000
Sb 0.000 2.185 0.000
Te -1.245 0.000 3.692
Te 2.602 2.185 3.692

---

Entry 6:
16
Lattice="0.000 7.324 7.453 2.592 0.000 7.453 2.592 7.324 0.000" Properties=species:S:1:pos:R:3 comment="Ta5Ga2Sn, optimized geometry, DFT PBE" delta_e_f_ev_per_atom=-0.179 de_polymorph_ev_per_atom=0.000 dos_ef_per_ev_fu=5.7 spacegroup="No. 69" pbc="T T T"
Ta 2.592 5.777 2.526
Ta 2.592 4.662 5.948
Ta 3.909 7.324 7.453
Ta 2.592 8.871 2.526
Ta 2.592 4.662 8.959
Ta 2.592 9.985 5.948
Ta 2.592 5.777 12.381
Ta 1.274 7.324 7.453
Ta 2.592 9.985 8.959
Ta 2.592 8.871 12.381
Ga 2.592 2.425 7.453
Ga 1.296 3.662 3.727
Ga 3.888 10.985 11.180
Ga 2.592 12.222 7.453
Sn 2.592 7.324 4.915
Sn 2.592 7.324 9.992

---

Entry 7:
5
Lattice="6.061 0.000 0.000 0.000 6.061 0.000 0.000 0.000 3.904" Properties=species:S:1:pos:R:3 comment="Rb2PdBrO, optimized geometry, DFT PBE" e_form_raw_mev_per_atom=-1063 dos_ef_per_ev_fu=1.3 spacegroup="No. 123" pbc="T T T"
Rb 0.000 3.031 0.000
Rb 3.031 0.000 0.000
Pd 0.000 0.000 1.952
Br 3.031 3.031 1.952
O 0.000 0.000 0.000

---

Entry 8:
4
Lattice="4.818 0.000 0.000 0.000 4.818 0.000 0.000 0.000 3.337" Properties=species:S:1:pos:R:3 comment="LiNdCu2, optimized geometry, DFT PBE" delta_e_f_ev_per_atom=0.031 de_polymorph_ev_per_atom=0.142 dos_ef_per_ev_fu=2.4 spacegroup="No. 123" pbc="T T T"
Li 0.000 0.000 0.000
Nd 2.409 2.409 0.000
Cu 0.000 2.409 1.668
Cu 2.409 0.000 1.668

---

Entry 9:
5
Lattice="5.056 0.000 0.000 0.000 5.056 0.000 0.000 0.000 4.592" Properties=species:S:1:pos:R:3 comment="MnSn2HgGe, optimized geometry, DFT PBE" delta_e_f_ev_per_atom=0.113 de_polymorph_ev_per_atom=0.000 dos_ef_per_ev_fu=2.3 spacegroup="No. 123" pbc="T T T"
Mn 0.000 0.000 0.000
Sn 0.000 2.528 0.000
Sn 2.528 0.000 0.000
Hg 2.528 2.528 2.296
Ge 0.000 0.000 2.296

---

Entry 10:
4
Lattice="4.335 0.000 0.000 0.000 4.335 0.000 0.000 0.000 4.200" Properties=species:S:1:pos:R:3 comment="LiGdGe2, optimized geometry, DFT PBE" delta_e_f_ev_per_atom=-0.544 de_polymorph_ev_per_atom=0.000 dos_ef_per_ev_fu=1.4 spacegroup="No. 123" pbc="T T T"
Li 0.000 0.000 0.000
Gd 2.168 2.168 0.000
Ge 0.000 2.168 2.100
Ge 2.168 0.000 2.100

---

Entry 11:
18
Lattice="7.458 0.000 0.000 0.000 7.078 0.000 -5.121 0.000 11.285" Properties=species:S:1:pos:R:3 comment="BiSb2Pb6, optimized geometry, DFT PBE" e_form_raw_mev_per_atom=64 de_polymorph_ev_per_atom=0.000 dos_ef_per_ev_fu=5.4 spacegroup="No. 14" pbc="T T T"
Bi 0.000 0.000 0.000
Bi -2.561 3.539 5.642
Sb -1.494 1.625 9.202
Sb 1.066 1.914 3.560
Sb 1.270 5.164 7.725
Sb 3.831 5.453 2.082
Pb -3.280 4.313 8.884
Pb -0.719 6.304 3.242
Pb 1.072 4.219 1.125
Pb -1.489 6.398 6.767
Pb 2.878 1.245 1.019
Pb 0.317 2.294 6.661
Pb 2.020 4.784 4.624
Pb -0.541 5.833 10.266
Pb 3.825 0.680 4.518
Pb 1.265 2.859 10.160
Pb 3.056 0.774 8.043
Pb 5.617 2.765 2.400

---

Entry 12:
11
Lattice="1.811 1.046 32.432 -1.811 1.046 32.432 0.000 -2.091 32.432" Properties=species:S:1:pos:R:3 comment="Nd2Sm6Th3, optimized geometry, DFT PBE" delta_e_f_ev_per_atom=0.028 dos_ef_per_ev_fu=16.0 spacegroup="No. 166" pbc="T T T"
Nd 0.000 0.000 4.460
Nd 0.000 0.000 92.837
Sm 0.000 0.000 13.311
Sm 0.000 0.000 30.944
Sm 0.000 0.000 39.980
Sm 0.000 0.000 57.317
Sm 0.000 0.000 66.353
Sm 0.000 0.000 83.986
Th 0.000 0.000 22.045
Th 0.000 0.000 48.649
Th 0.000 0.000 75.252